No. 1
Sr2CaYMn (PBE, optimized geometry); final energy = -3.44 eV per atom; density = 3.18 Mg/m³
1.0
-3.1564 4.8448 0.1747
-3.7420 -2.3129 -3.4657
-2.9260 -2.0701 4.5408
Y Sr Ca Mn
1 2 1 1
Direct
0.5000 0.5000 0.5000
0.0000 0.0000 0.5000
0.5000 0.0000 0.0000
0.0000 0.5000 0.0000
0.0000 0.0000 0.0000


No. 2
Pr4Y3Er5 (PBE, optimized geometry); final energy = -4.88 eV per atom; density = 6.82 Mg/m³
1.0
5.9478 0.0000 0.0000
2.9739 7.6675 -2.5903
2.9739 -0.8210 9.1736
Pr Y Er
4 3 5
Direct
0.8641 0.2228 0.0489
0.1682 0.0483 0.6153
0.8318 0.9517 0.3847
0.1359 0.7772 0.9511
0.5258 0.6906 0.2578
0.0000 0.5000 0.5000
0.4742 0.3094 0.7422
0.6354 0.9324 0.7968
0.5000 0.5000 0.5000
0.2078 0.4619 0.1226
0.7922 0.5381 0.8774
0.3646 0.0676 0.2032